DFT (PBE+U) results for a relaxed structure of CrCuIO6.

Values from the calculation:
spin magnetization: 0.01 μB per atom
DFT total energy: -0.1974 hartree per atom

Cell lengths 5.096, 5.096, 9.034 Å; angles 90.00, 90.00, 120.00 degrees
Fractional positions:
1 Cu 0.000 0.000 0.500
2 Cu 0.000 0.000 0.000
3 O 0.640 0.649 0.633
4 O 0.360 0.351 0.367
5 O 0.351 0.991 0.633
6 O 0.351 0.360 0.867
7 O 0.009 0.649 0.867
8 O 0.991 0.640 0.367
9 O 0.649 0.009 0.367
10 O 0.649 0.640 0.133
11 O 0.991 0.351 0.133
12 O 0.360 0.009 0.133
13 O 0.009 0.360 0.633
14 O 0.640 0.991 0.867
15 I 0.333 0.667 0.750
16 I 0.667 0.333 0.250
17 Cr 0.667 0.333 0.750
18 Cr 0.333 0.667 0.250